--- i ---
Compound: CoRe2
Source: Alexandria
Functional: PBE-GGA
Structure: relaxed

Output
total magnetization: 0.0 μB per formula unit
SG: C2/m

Structure (extended XYZ):
```
6
Lattice="4.9097 -1.3490 0.0000 4.9097 1.3490 0.0000 -1.5850 0.0000 6.1200" Properties=species:S:1:pos:R:3 pbc="T T T"
Co -0.2139 0.0000 1.8937
Co 8.4482 0.0000 4.2263
Re 2.5224 0.0000 2.2260
Re 2.0423 0.0000 5.9587
Re 6.1920 0.0000 0.1613
Re 5.7120 0.0000 3.8941
```



--- ii ---
Compound: CoRe2
Source: Alexandria
Functional: PBE-GGA
Structure: relaxed

Output
total magnetization: 0.0 μB per formula unit
SG: P4/mmm

Structure (extended XYZ):
```
3
Lattice="4.2336 0.0000 0.0000 0.0000 4.2336 0.0000 0.0000 0.0000 2.5775" Properties=species:S:1:pos:R:3 pbc="T T T"
Co 0.0000 0.0000 0.0000
Re 0.0000 2.1168 1.2887
Re 2.1168 0.0000 1.2887
```



Computed energies relative to the best structure, in kJ/mol of atoms: i 0.0; ii 84.0



--- i ---
Compound: CoRe2
Source: Alexandria
Functional: PBE-GGA
Structure: relaxed

Output
total magnetization: 1.4 μB per formula unit
SG: P6_3/mmc

Structure (extended XYZ):
```
12
Lattice="5.1142 0.0000 0.0000 -2.5571 4.4290 0.0000 0.0000 0.0000 8.2082" Properties=species:S:1:pos:R:3 pbc="T T T"
Co 0.0000 2.9527 0.6782
Co 0.0000 2.9527 3.4259
Co 2.5571 1.4763 4.7823
Co 2.5571 1.4763 7.5300
Re 0.0000 0.0000 0.0000
Re 0.0000 0.0000 4.1041
Re 0.0000 1.5382 6.1561
Re -1.2249 3.6599 6.1561
Re 1.3322 0.7691 2.0520
Re 1.2249 3.6599 6.1561
Re 3.7820 0.7691 2.0520
Re 2.5571 2.8908 2.0520
```



--- ii ---
Compound: CoRe2
Source: Alexandria
Functional: PBE-GGA
Structure: relaxed

Output
total magnetization: 0.0 μB per formula unit
SG: I4_1/amd

Structure (extended XYZ):
```
12
Lattice="-1.8996 1.8996 11.2440 1.8996 -1.8996 11.2440 1.8996 1.8996 -11.2440" Properties=species:S:1:pos:R:3 pbc="T T T"
Co 1.8996 0.9498 0.9222
Co 1.8996 0.9498 4.6998
Co 0.0000 0.9498 6.5442
Co 0.0000 0.9498 10.3218
Re 1.8996 -0.9498 6.5057
Re 1.8996 0.9498 -2.7797
Re 1.8996 -0.9498 10.3603
Re 0.0000 0.9498 2.8423
Re 1.8996 0.9498 8.4017
Re 0.0000 2.8493 0.8837
Re 0.0000 0.9498 14.0237
Re 0.0000 2.8493 4.7383
```



--- iii ---
Compound: CoRe2
Source: Alexandria
Functional: PBE-GGA
Structure: relaxed

Output
total magnetization: 0.6 μB per formula unit
SG: Fm-3m

Structure (extended XYZ):
```
3
Lattice="0.0000 2.8337 2.8337 2.8337 0.0000 2.8337 2.8337 2.8337 0.0000" Properties=species:S:1:pos:R:3 pbc="T T T"
Co 0.0000 0.0000 0.0000
Re 1.4169 1.4169 1.4169
Re 4.2506 4.2506 4.2506
```



Computed energies relative to the best structure, in kJ/mol of atoms: i 57.1; ii 0.0; iii 66.8



--- i ---
Compound: CoRe5
Source: Alexandria
Functional: PBE-GGA
Structure: relaxed

Output
total magnetization: 0.0 μB per formula unit
SG: P-62m

Structure (extended XYZ):
```
6
Lattice="4.7585 0.0000 0.0000 -2.3793 4.1210 0.0000 0.0000 0.0000 4.3782" Properties=species:S:1:pos:R:3 pbc="T T T"
Co 0.0000 0.0000 0.0000
Re -1.6019 2.7745 2.1891
Re 0.7774 1.3465 2.1891
Re 0.0000 2.7473 0.0000
Re 2.3793 1.3737 0.0000
Re 3.2038 0.0000 2.1891
```



--- ii ---
Compound: CoRe5
Source: Alexandria
Functional: PBE-GGA
Structure: relaxed

Output
total magnetization: 1.6 μB per formula unit
SG: P6/mmm

Structure (extended XYZ):
```
6
Lattice="5.0352 0.0000 0.0000 -2.5176 4.3606 0.0000 0.0000 0.0000 4.5619" Properties=species:S:1:pos:R:3 pbc="T T T"
Co 0.0000 0.0000 0.0000
Re -1.2588 2.1803 2.2810
Re 0.0000 2.9071 0.0000
Re 2.5176 0.0000 2.2810
Re 1.2588 2.1803 2.2810
Re 2.5176 1.4535 0.0000
```



Computed energies relative to the best structure, in kJ/mol of atoms: i 0.0; ii 71.1



--- i ---
Compound: CoRe5
Source: Alexandria
Functional: PBE-GGA
Structure: relaxed

Output
total magnetization: 0.0 μB per formula unit
SG: Amm2

Structure (extended XYZ):
```
6
Lattice="4.3679 0.0000 0.0000 0.0000 1.3800 7.1323 0.0000 -1.3800 7.1323" Properties=species:S:1:pos:R:3 pbc="T T T"
Co 0.0000 0.0000 0.0000
Re 0.0000 0.0000 4.8681
Re 0.0000 0.0000 9.5102
Re 2.1839 0.0000 1.5818
Re 2.1839 0.0000 6.4254
Re 2.1839 0.0000 11.1198
```



--- ii ---
Compound: CoRe5
Source: Alexandria
Functional: PBE-GGA
Structure: relaxed

Output
total magnetization: 0.0 μB per formula unit
SG: Cmmm

Structure (extended XYZ):
```
6
Lattice="1.9266 -5.7861 0.0000 1.9266 5.7861 0.0000 0.0000 0.0000 3.8506" Properties=species:S:1:pos:R:3 pbc="T T T"
Co 0.0000 0.0000 0.0000
Re 1.9266 3.9184 1.9253
Re 1.9266 1.8759 0.0000
Re 1.9266 0.0000 1.9253
Re 1.9266 -1.8759 0.0000
Re 1.9266 -3.9184 1.9253
```



--- iii ---
Compound: CoRe5
Source: Alexandria
Functional: PBE-GGA
Structure: relaxed

Output
total magnetization: 1.5 μB per formula unit
SG: F-43m

Structure (extended XYZ):
```
6
Lattice="0.0000 3.5992 3.5992 3.5992 0.0000 3.5992 3.5992 3.5992 0.0000" Properties=species:S:1:pos:R:3 pbc="T T T"
Co 0.0000 0.0000 0.0000
Re 4.5056 2.6928 2.6928
Re 1.7996 1.7996 1.7996
Re 2.6928 4.5056 2.6928
Re 2.6928 2.6928 4.5056
Re 4.5056 4.5056 4.5056
```



Computed energies relative to the best structure, in kJ/mol of atoms: i 0.0; ii 4.3; iii 48.2



--- i ---
Compound: CoRe5
Source: Alexandria
Functional: PBE-GGA
Structure: relaxed

Output
total magnetization: 0.0 μB per formula unit
SG: Cm

Structure (extended XYZ):
```
6
Lattice="5.0042 -1.3753 0.0000 5.0042 1.3753 0.0000 -1.6040 0.0000 6.2419" Properties=species:S:1:pos:R:3 pbc="T T T"
Co 0.0000 0.0000 0.0000
Re -0.4487 0.0000 3.8385
Re 2.3090 0.0000 4.1700
Re 3.5165 0.0000 1.6705
Re 6.1184 0.0000 2.0363
Re 5.6933 0.0000 5.9014
```



--- ii ---
Compound: CoRe5
Source: Alexandria
Functional: PBE-GGA
Structure: relaxed

Output
total magnetization: 0.0 μB per formula unit
SG: P4/mmm

Structure (extended XYZ):
```
6
Lattice="2.7276 0.0000 0.0000 0.0000 2.7276 0.0000 0.0000 0.0000 11.5329" Properties=species:S:1:pos:R:3 pbc="T T T"
Co 0.0000 0.0000 0.0000
Re 0.0000 0.0000 3.7763
Re 0.0000 0.0000 7.7566
Re 1.3638 1.3638 1.7738
Re 1.3638 1.3638 5.7664
Re 1.3638 1.3638 9.7590
```



Computed energies relative to the best structure, in kJ/mol of atoms: i 0.0; ii 7.8



--- i ---
Compound: Co5Re3
Source: Alexandria
Functional: PBE-GGA
Structure: relaxed

Output
total magnetization: 4.2 μB per formula unit
SG: P2_1/m

Structure (extended XYZ):
```
16
Lattice="5.5454 0.0000 0.0000 0.0000 4.5975 0.0000 -2.0614 0.0000 8.0171" Properties=species:S:1:pos:R:3 pbc="T T T"
Co -0.1981 1.1494 1.6639
Co -1.3589 1.1494 7.4773
Co 1.1297 3.4482 2.0988
Co 0.2598 4.5954 5.8094
Co 0.2598 2.3010 5.8094
Co 3.2242 0.0022 2.2077
Co 3.2242 2.2966 2.2077
Co 2.3543 1.1494 5.9182
Co 4.8429 3.4482 0.5398
Co 3.6821 3.4482 6.3531
Re -0.6069 3.4482 3.6340
Re 2.1618 3.4482 0.0306
Re 1.2924 1.1494 3.6162
Re 2.1916 3.4482 4.4009
Re 1.3222 1.1494 7.9865
Re 4.0909 1.1494 4.3830
```



--- ii ---
Compound: Co5Re3
Source: Alexandria
Functional: PBE-GGA
Structure: relaxed

Output
total magnetization: 0.6 μB per formula unit
SG: P-1

Structure (extended XYZ):
```
16
Lattice="4.4935 0.0000 0.0000 1.9191 6.2829 0.0000 0.4410 0.4442 6.9355" Properties=species:S:1:pos:R:3 pbc="T T T"
Co 0.6476 1.1866 0.8646
Co 2.5185 5.0523 1.2895
Co 2.0501 2.7666 2.0092
Co 1.3748 0.3461 3.0032
Co 2.0045 2.1095 4.3553
Co 4.8491 4.6176 2.5802
Co 5.4788 6.3810 3.9323
Co 4.8035 3.9605 4.9263
Co 4.3351 1.6748 5.6460
Co 6.2061 5.5405 6.0709
Re 2.6018 4.4826 3.8472
Re 2.5387 3.2368 6.4187
Re 3.9369 6.4299 5.8632
Re 2.9167 0.2972 1.0723
Re 4.3150 3.4903 0.5168
Re 4.2519 2.2446 3.0883
```



Computed energies relative to the best structure, in kJ/mol of atoms: i 8.5; ii 0.0



--- i ---
Compound: Co5Re4
Source: Alexandria
Functional: PBE-GGA
Structure: relaxed

Output
total magnetization: 0.1 μB per formula unit
SG: I4/mmm

Structure (extended XYZ):
```
9
Lattice="-3.9098 3.9098 1.8336 3.9098 -3.9098 1.8336 3.9098 3.9098 -1.8336" Properties=species:S:1:pos:R:3 pbc="T T T"
Co 0.0000 0.0000 0.0000
Co 2.5968 2.5968 0.0000
Co 1.3130 -1.3130 1.8336
Co -1.3130 1.3130 1.8336
Co 1.3130 1.3130 1.8336
Re 2.5188 0.0000 0.0000
Re 5.3008 0.0000 0.0000
Re 0.0000 2.5188 0.0000
Re 0.0000 5.3008 0.0000
```



--- ii ---
Compound: Co5Re4
Source: Alexandria
Functional: PBE-GGA
Structure: relaxed

Output
total magnetization: 4.1 μB per formula unit
SG: P6_3/mcm

Structure (extended XYZ):
```
18
Lattice="7.1767 0.0000 0.0000 -3.5884 6.2152 0.0000 0.0000 0.0000 5.1289" Properties=species:S:1:pos:R:3 pbc="T T T"
Co -1.1946 2.0691 1.2822
Co -2.3938 4.1462 3.8466
Co 2.3892 0.0000 1.2822
Co 1.1946 2.0691 3.8466
Co 0.0000 4.1435 0.0000
Co 0.0000 4.1435 2.5644
Co 4.7876 0.0000 3.8466
Co 3.5884 2.0717 0.0000
Co 3.5884 2.0717 2.5644
Co 2.3938 4.1462 1.2822
Re 0.0000 0.0000 0.0000
Re 0.0000 0.0000 2.5644
Re -1.2123 2.0998 3.8466
Re -2.3760 4.1154 1.2822
Re 2.4246 0.0000 3.8466
Re 1.2123 2.0998 1.2822
Re 4.7521 0.0000 1.2822
Re 2.3760 4.1154 3.8466
```



Computed energies relative to the best structure, in kJ/mol of atoms: i 0.0; ii 8.4



--- i ---
Compound: Co4Re3
Source: Alexandria
Functional: PBE-GGA
Structure: relaxed

Output
total magnetization: 2.0 μB per formula unit
SG: I4/mmm

Structure (extended XYZ):
```
7
Lattice="-1.5320 1.5320 9.3161 1.5320 -1.5320 9.3161 1.5320 1.5320 -9.3161" Properties=species:S:1:pos:R:3 pbc="T T T"
Co 0.0000 0.0000 1.3194
Co 0.0000 0.0000 6.7972
Co 0.0000 0.0000 11.8350
Co 0.0000 0.0000 17.3128
Re 0.0000 0.0000 3.8792
Re 0.0000 0.0000 9.3161
Re 0.0000 0.0000 14.7530
```



--- ii ---
Compound: Co4Re3
Source: Alexandria
Functional: PBE-GGA
Structure: relaxed

Output
total magnetization: 1.9 μB per formula unit
SG: P6/mmm

Structure (extended XYZ):
```
7
Lattice="4.9722 0.0000 0.0000 -2.4861 4.3061 0.0000 0.0000 0.0000 4.4708" Properties=species:S:1:pos:R:3 pbc="T T T"
Co 0.0000 0.0000 1.0791
Co 0.0000 0.0000 3.3917
Co 0.0000 2.8707 0.0000
Co 2.4861 1.4354 0.0000
Re -1.2431 2.1530 2.2354
Re 2.4861 0.0000 2.2354
Re 1.2431 2.1530 2.2354
```



Computed energies relative to the best structure, in kJ/mol of atoms: i 0.0; ii 23.3